Entry 1:
! Pr3Cd2InPtAu2, relaxed, DFT PBE-GGA; values from VASP
! **Total moment**: 0.004 Bohr magnetons per cell
! **Density**: 10.11 g/cm3
! **Total energy**: -4.225 eV/atom
&SYSTEM
  ibrav = 0, nat = 9, ntyp = 5
/
ATOMIC_SPECIES
Pr 140.91 Pr.upf
Cd 112.41 Cd.upf
In 114.82 In.upf
Pt 195.08 Pt.upf
Au 196.97 Au.upf
CELL_PARAMETERS angstrom
4.133 0.000 0.000
0.000 6.847 3.922
0.000 -6.847 3.922
ATOMIC_POSITIONS angstrom
Pr 0.000 0.000 0.000
Pr 0.000 -2.758 3.163
Pr 0.000 2.758 3.163
Cd 2.067 -1.716 5.708
Cd 2.067 1.716 5.708
In 2.067 0.000 2.796
Pt 0.000 0.000 4.677
Au 2.067 -4.577 4.738
Au 2.067 4.577 4.738


Entry 2:
! Rb2LiWSe6, relaxed, DFT PBE-GGA; values from VASP
! **Total moment**: 0.005 Bohr magnetons per cell
! **Density**: 5.18 g/cm3
! **Total energy**: -4.254 eV/atom
&SYSTEM
  ibrav = 0, nat = 10, ntyp = 4
/
ATOMIC_SPECIES
Rb 85.47 Rb.upf
Li 6.94 Li.upf
W 183.84 W.upf
Se 78.96 Se.upf
CELL_PARAMETERS angstrom
0.000 5.115 5.115
5.115 0.000 5.115
5.115 5.115 0.000
ATOMIC_POSITIONS angstrom
Rb 2.558 2.558 2.558
Rb 7.673 7.673 7.673
Li 0.000 0.000 0.000
W 5.115 5.115 5.115
Se 5.115 5.115 2.603
Se 5.115 2.603 5.115
Se 7.628 5.115 5.115
Se 2.603 5.115 5.115
Se 5.115 7.628 5.115
Se 5.115 5.115 7.628


Entry 3:
! Tm3Sc3FeTe2, relaxed, DFT PBE-GGA; values from VASP
! **Total moment**: 0.160 Bohr magnetons per cell
! **Density**: 7.44 g/cm3
! **Distance to the lowest polymorph of the same formula**: 0.00 eV/f.u.
! **Total energy**: -5.874 eV/atom
&SYSTEM
  ibrav = 0, nat = 9, ntyp = 4
/
ATOMIC_SPECIES
Tm 168.93 Tm.upf
Sc 44.96 Sc.upf
Fe 55.84 Fe.upf
Te 127.60 Te.upf
CELL_PARAMETERS angstrom
7.892 0.000 0.000
-3.946 6.835 0.000
0.000 0.000 3.940
ATOMIC_POSITIONS angstrom
Tm -1.523 2.639 0.000
Tm 3.047 0.000 0.000
Tm 2.423 4.196 0.000
Sc -3.050 5.283 1.970
Sc 0.896 1.551 1.970
Sc 6.101 0.000 1.970
Fe 0.000 0.000 0.000
Te 0.000 4.556 1.970
Te 3.946 2.278 1.970